(1)
DFT (PBE) results for a geometry-optimized BiClF2 structure.

Output
Energy above the most stable polymorph in this dataset = 0.026 eV per atom
Uncorrected formation energy = -1.902 eV per atom

abc: 6.0912 3.7723 6.8547
angles: 90.00 107.68 90.00
With the nearest neighbours (Å) after each atom.
Space group P2_1/m (No. 11)
Inequivalent atoms, fractional coordinates:
Bi: 0.2476 0.2500 0.2184 x2  5 F 2.29-2.54
Cl: 0.2806 0.7500 0.5577 x2  3 Bi 2.82-2.95, 1 F 3.03
F: 0.0462 0.2500 0.8746 x2  3 Bi 2.30-2.54
F: 0.3897 0.7500 0.1118 x2  2 Bi 2.29

***

(2)
DFT (PBE) results for a geometry-optimized InCu2Pt structure.

Output
Formation enthalpy at 0 K = -0.063 eV/atom

abc: 5.4497 9.1526 2.8561
angles: 90.00 118.66 90.00
With the nearest neighbours (Å) after each atom.
Space group C2/m (No. 12)
Inequivalent atoms, fractional coordinates:
In: 0.0000 0.0000 0.0000 x2  4 Cu 2.70, 4 Pt 2.72-2.85, 2 In 2.86
Cu: 0.2500 0.2500 0.5000 x4  2 In 2.70, 2 Pt 2.70, 6 Cu 2.72-2.86
Pt: 0.0000 0.5000 0.0000 x2  4 Cu 2.70, 4 In 2.72-2.85, 2 Pt 2.86

***

Number 1: total DFT energy (no corrections) -4.269 eV per atom. Number 2: total DFT energy (no corrections) -4.306 eV per atom.